Entry 1:
DFT (PBE-GGA) results for a relaxed YAlFe2 crystal.

Electronic total energy in eV/atom: -6.759
Magnetization in μB/atom: 0.8484

Cell: 5.1364 5.1364 4.5951 Å, 110.29 110.29 35.98°
Fractional coordinates of all 4 atoms:
Y  0.0000  0.0000  0.0000
Al  0.2155  0.2155  0.6726
Fe  0.4722  0.4722  0.4880
Fe  0.7775  0.7775  0.2667



Entry 2:
DFT (PBE-GGA) results for a relaxed Y2AlFe crystal.

Electronic total energy in eV/atom: -6.147
Magnetization in μB/atom: 0.2374

Cell: 9.0090 9.0090 9.0090 Å, 22.50 22.50 22.50°
Fractional coordinates of all 4 atoms:
Y  0.2392  0.2392  0.2392
Y  0.7608  0.7608  0.7608
Al  0.0000  0.0000  0.0000
Fe  0.5000  0.5000  0.5000



Entry 3:
DFT (PBE-GGA) results for a relaxed Y4Al16Fe3 crystal.

Electronic total energy in eV/atom: -5.245
Magnetization in μB/atom: 0.0374

Cell: 6.0301 6.0301 11.2392 Å, 90.00 90.00 90.00°
Fractional coordinates of all 23 atoms:
Y  0.0000  0.5000  0.1920
Y  0.0000  0.5000  0.8080
Y  0.5000  0.0000  0.1920
Y  0.5000  0.0000  0.8080
Al  0.0000  0.0000  0.1951
Al  0.0000  0.0000  0.8049
Al  0.2245  0.2245  0.0000
Al  0.2245  0.7755  0.0000
Al  0.2516  0.2516  0.3858
Al  0.2516  0.2516  0.6142
Al  0.2516  0.7484  0.3858
Al  0.2516  0.7484  0.6142
Al  0.5000  0.5000  0.2117
Al  0.5000  0.5000  0.7883
Al  0.7484  0.2516  0.3858
Al  0.7484  0.2516  0.6142
Al  0.7484  0.7484  0.3858
Al  0.7484  0.7484  0.6142
Al  0.7755  0.2245  0.0000
Al  0.7755  0.7755  0.0000
Fe  0.0000  0.5000  0.5000
Fe  0.5000  0.0000  0.5000
Fe  0.5000  0.5000  0.0000



Entry 4:
DFT (PBE-GGA) results for a relaxed Y2AlFe crystal.

Electronic total energy in eV/atom: -5.970
Magnetization in μB/atom: 0.2715

Cell: 6.2796 6.2796 6.2796 Å, 103.00 103.00 123.38°
Fractional coordinates of all 8 atoms:
Y  0.0762  0.6250  0.9512
Y  0.3750  0.3262  0.4512
Y  0.6738  0.1250  0.0488
Y  0.8750  0.9238  0.5488
Al  0.2500  0.7500  0.5000
Al  0.5000  0.5000  0.0000
Fe  0.0000  0.0000  0.0000
Fe  0.7500  0.2500  0.5000



Entry 5:
DFT (PBE-GGA) results for a relaxed YAl4Fe8 crystal.

Magnetization in μB/atom: 1.2424
Relative energy among the computed polymorphs in eV per formula unit: 0.72

Cell: 6.4514 6.4514 6.4514 Å, 98.80 98.80 133.95°
Fractional coordinates of all 13 atoms:
Y  0.0000  0.0000  0.0000
Al  0.0000  0.0000  0.5000
Al  0.0000  0.5000  0.0000
Al  0.5000  0.0000  0.0000
Al  0.5000  0.5000  0.5000
Fe  0.0000  0.3662  0.3662
Fe  0.0000  0.6338  0.6338
Fe  0.2830  0.5000  0.7830
Fe  0.3662  0.0000  0.3662
Fe  0.5000  0.2830  0.7830
Fe  0.5000  0.7170  0.2170
Fe  0.6338  0.0000  0.6338
Fe  0.7170  0.5000  0.2170



Entry 6:
DFT (PBE-GGA) results for a relaxed YAlFe2 crystal.

Electronic total energy in eV/atom: -6.663
Magnetization in μB/atom: 1.1331

Cell: 4.5567 4.5567 4.5567 Å, 60.00 60.00 60.00°
Fractional coordinates of all 4 atoms:
Y  0.0000  0.0000  0.0000
Al  0.7500  0.7500  0.7500
Fe  0.2500  0.2500  0.2500
Fe  0.5000  0.5000  0.5000



Entry 7:
DFT (PBE-GGA) results for a relaxed Y2Al2Fe crystal.

Magnetization in μB/atom: 0.0002
Relative energy among the computed polymorphs in eV per formula unit: 1.81

Cell: 9.0786 9.0786 9.0786 Å, 157.28 157.28 32.34°
Fractional coordinates of all 5 atoms:
Y  0.0917  0.0917  0.0000
Y  0.9083  0.9083  0.0000
Al  0.2500  0.7500  0.5000
Al  0.7500  0.2500  0.5000
Fe  0.5000  0.5000  0.0000



Entry 8:
DFT (PBE-GGA) results for a relaxed Y8Al4Fe crystal.

Electronic total energy in eV/atom: -5.778
Magnetization in μB/atom: 0.1827

Cell: 8.0463 8.0463 8.0463 Å, 98.97 98.97 133.48°
Fractional coordinates of all 13 atoms:
Y  0.0000  0.2115  0.2115
Y  0.0000  0.7885  0.7885
Y  0.1900  0.5000  0.6899
Y  0.2115  0.0000  0.2115
Y  0.5000  0.1900  0.6899
Y  0.5000  0.8101  0.3100
Y  0.7885  0.0000  0.7885
Y  0.8101  0.5000  0.3100
Al  0.0000  0.0000  0.5000
Al  0.0000  0.5000  0.0000
Al  0.5000  0.0000  0.0000
Al  0.5000  0.5000  0.5000
Fe  0.5000  0.5000  0.0000



Entry 9:
DFT (PBE-GGA) results for a relaxed Y2AlFe crystal.

Electronic total energy in eV/atom: -6.236
Magnetization in μB/atom: 0.4336

Cell: 5.6280 5.6280 5.6280 Å, 135.01 135.01 65.51°
Fractional coordinates of all 4 atoms:
Y  0.0000  0.0000  0.0000
Y  0.7500  0.2500  0.5000
Al  0.2500  0.7500  0.5000
Fe  0.5000  0.5000  0.0000



Entry 10:
DFT (PBE-GGA) results for a relaxed YAl2Fe10 crystal.

Electronic total energy in eV/atom: -7.690
Magnetization in μB/atom: 1.5700

Cell: 6.4490 6.4490 8.3037 Å, 90.00 90.00 98.54°
Fractional coordinates of all 26 atoms:
Y  0.1280  0.8720  0.7500
Y  0.8720  0.1280  0.2500
Al  0.0000  0.5000  0.0000
Al  0.0000  0.5000  0.5000
Al  0.5000  0.0000  0.0000
Al  0.5000  0.0000  0.5000
Fe  0.1385  0.3774  0.7500
Fe  0.1476  0.8524  0.1053
Fe  0.1476  0.8524  0.3947
Fe  0.2325  0.2325  0.0000
Fe  0.2325  0.2325  0.5000
Fe  0.2419  0.4854  0.2500
Fe  0.3774  0.1385  0.2500
Fe  0.3980  0.6020  0.5801
Fe  0.3980  0.6020  0.9199
Fe  0.4854  0.2419  0.7500
Fe  0.5146  0.7581  0.2500
Fe  0.6020  0.3980  0.0801
Fe  0.6020  0.3980  0.4199
Fe  0.6226  0.8615  0.7500
Fe  0.7581  0.5146  0.7500
Fe  0.7675  0.7675  0.0000
Fe  0.7675  0.7675  0.5000
Fe  0.8524  0.1476  0.6053
Fe  0.8524  0.1476  0.8947
Fe  0.8615  0.6226  0.2500



Entry 11:
DFT (PBE-GGA) results for a relaxed Y12AlFe6 crystal.

Electronic total energy in eV/atom: -7.005
Magnetization in μB/atom: 0.3572

Cell: 8.4226 8.4226 8.4226 Å, 109.47 109.47 109.47°
Fractional coordinates of all 19 atoms:
Y  0.1026  0.8062  0.2964
Y  0.1938  0.2964  0.4902
Y  0.1938  0.7036  0.8974
Y  0.2964  0.1026  0.8062
Y  0.2964  0.4902  0.1938
Y  0.4902  0.1938  0.2964
Y  0.5098  0.8062  0.7036
Y  0.7036  0.5098  0.8062
Y  0.7036  0.8974  0.1938
Y  0.8062  0.2964  0.1026
Y  0.8062  0.7036  0.5098
Y  0.8974  0.1938  0.7036
Al  0.0000  0.0000  0.0000
Fe  0.1093  0.6093  0.5000
Fe  0.3907  0.5000  0.8907
Fe  0.5000  0.1093  0.6093
Fe  0.5000  0.8907  0.3907
Fe  0.6093  0.5000  0.1093
Fe  0.8907  0.3907  0.5000



Entry 12:
DFT (PBE-GGA) results for a relaxed Y2AlFe crystal.

Electronic total energy in eV/atom: -6.432
Magnetization in μB/atom: 0.2471

Cell: 4.2606 5.8507 5.8507 Å, 39.21 90.00 90.00°
Fractional coordinates of all 4 atoms:
Y  0.0000  0.0000  0.0000
Y  0.5000  0.2910  0.2910
Al  0.5000  0.5838  0.5838
Fe  0.0000  0.7078  0.7078



Entry 13:
DFT (PBE-GGA) results for a relaxed Y2AlFe crystal.

Electronic total energy in eV/atom: -6.361
Magnetization in μB/atom: 0.0577

Cell: 6.5996 6.5996 6.5996 Å, 37.51 37.51 37.51°
Fractional coordinates of all 4 atoms:
Y  0.0000  0.0000  0.0000
Y  0.1841  0.1841  0.1841
Al  0.7596  0.7596  0.7596
Fe  0.4271  0.4271  0.4271



Entry 14:
DFT (PBE-GGA) results for a relaxed YAlFe2 crystal.

Electronic total energy in eV/atom: -6.425
Magnetization in μB/atom: 0.0000

Cell: 8.9068 8.9068 8.9068 Å, 152.63 152.63 39.09°
Fractional coordinates of all 8 atoms:
Y  0.0000  0.0000  0.0000
Y  0.7500  0.2500  0.5000
Al  0.2500  0.7500  0.5000
Al  0.5000  0.5000  0.0000
Fe  0.2897  0.6250  0.1647
Fe  0.3750  0.5397  0.6647
Fe  0.4603  0.1250  0.8353
Fe  0.8750  0.7103  0.3353



Entry 15:
DFT (PBE-GGA) results for a relaxed Y2AlFe crystal.

Electronic total energy in eV/atom: -6.170
Magnetization in μB/atom: 0.2457

Cell: 4.8740 4.8740 4.8740 Å, 60.00 60.00 60.00°
Fractional coordinates of all 4 atoms:
Y  0.0000  0.0000  0.0000
Y  0.2500  0.2500  0.2500
Al  0.7500  0.7500  0.7500
Fe  0.5000  0.5000  0.5000



Entry 16:
DFT (PBE-GGA) results for a relaxed Y2Al3Fe14 crystal.

Electronic total energy in eV/atom: -7.629
Magnetization in μB/atom: 1.4986

Cell: 8.5516 8.5516 8.1996 Å, 90.00 90.00 120.00°
Fractional coordinates of all 38 atoms:
Y  0.0000  0.0000  0.2500
Y  0.0000  0.0000  0.7500
Y  0.3333  0.6667  0.2500
Y  0.6667  0.3333  0.7500
Al  0.0000  0.5000  0.0000
Al  0.0000  0.5000  0.5000
Al  0.5000  0.0000  0.0000
Al  0.5000  0.0000  0.5000
Al  0.5000  0.5000  0.0000
Al  0.5000  0.5000  0.5000
Fe  0.0350  0.3564  0.7500
Fe  0.0350  0.6786  0.7500
Fe  0.1656  0.3311  0.0169
Fe  0.1656  0.3311  0.4831
Fe  0.1656  0.8344  0.0169
Fe  0.1656  0.8344  0.4831
Fe  0.3214  0.3564  0.7500
Fe  0.3214  0.9650  0.7500
Fe  0.3311  0.1656  0.5169
Fe  0.3311  0.1656  0.9831
Fe  0.3333  0.6667  0.6115
Fe  0.3333  0.6667  0.8885
Fe  0.3564  0.0350  0.2500
Fe  0.3564  0.3214  0.2500
Fe  0.6436  0.6786  0.7500
Fe  0.6436  0.9650  0.7500
Fe  0.6667  0.3333  0.1115
Fe  0.6667  0.3333  0.3885
Fe  0.6689  0.8344  0.0169
Fe  0.6689  0.8344  0.4831
Fe  0.6786  0.0350  0.2500
Fe  0.6786  0.6436  0.2500
Fe  0.8344  0.1656  0.5169
Fe  0.8344  0.1656  0.9831
Fe  0.8344  0.6689  0.5169
Fe  0.8344  0.6689  0.9831
Fe  0.9650  0.3214  0.2500
Fe  0.9650  0.6436  0.2500



Entry 17:
DFT (PBE-GGA) results for a relaxed Y6AlFe2 crystal.

Electronic total energy in eV/atom: -6.734
Magnetization in μB/atom: 0.2151

Cell: 8.3932 8.3932 8.3932 Å, 111.18 110.39 106.87°
Fractional coordinates of all 18 atoms:
Y  0.0251  0.2313  0.7937
Y  0.1868  0.2841  0.4708
Y  0.1868  0.7159  0.9027
Y  0.3137  0.0174  0.7037
Y  0.3137  0.6100  0.2963
Y  0.4376  0.2313  0.2063
Y  0.5624  0.7687  0.7937
Y  0.6863  0.3900  0.7037
Y  0.6863  0.9826  0.2963
Y  0.8132  0.2841  0.0973
Y  0.8132  0.7159  0.5292
Y  0.9749  0.7687  0.2063
Al  0.0000  0.0000  0.0000
Al  0.5000  0.5000  0.0000
Fe  0.1079  0.6079  0.5000
Fe  0.3842  0.0000  0.3842
Fe  0.6158  0.0000  0.6158
Fe  0.8921  0.3921  0.5000



Entry 18:
DFT (PBE-GGA) results for a relaxed YAl4Fe8 crystal.

Magnetization in μB/atom: 1.1831
Relative energy among the computed polymorphs in eV per formula unit: 0.00

Cell: 6.4913 6.4913 6.4913 Å, 98.31 98.31 135.30°
Fractional coordinates of all 13 atoms:
Y  0.0000  0.0000  0.0000
Al  0.0000  0.3451  0.3451
Al  0.0000  0.6549  0.6549
Al  0.3451  0.0000  0.3451
Al  0.6549  0.0000  0.6549
Fe  0.0000  0.0000  0.5000
Fe  0.0000  0.5000  0.0000
Fe  0.2687  0.5000  0.7687
Fe  0.5000  0.0000  0.0000
Fe  0.5000  0.2687  0.7687
Fe  0.5000  0.5000  0.5000
Fe  0.5000  0.7313  0.2313
Fe  0.7313  0.5000  0.2313



Entry 19:
DFT (PBE-GGA) results for a relaxed YAlFe2 crystal.

Electronic total energy in eV/atom: -6.842
Magnetization in μB/atom: 0.8291

Cell: 3.2420 3.2954 6.1301 Å, 90.00 90.00 90.00°
Fractional coordinates of all 4 atoms:
Y  0.0000  0.0000  0.0000
Al  0.0000  0.0000  0.5000
Fe  0.5000  0.5000  0.3140
Fe  0.5000  0.5000  0.6860



Entry 20:
DFT (PBE-GGA) results for a relaxed YAl6Fe3 crystal.

Electronic total energy in eV/atom: -5.676
Magnetization in μB/atom: 0.1455

Cell: 5.3639 5.3639 7.1064 Å, 112.10 112.10 60.00°
Fractional coordinates of all 10 atoms:
Y  0.0000  0.0000  0.0000
Al  0.0970  0.5967  0.2906
Al  0.3988  0.3988  0.6932
Al  0.3992  0.8964  0.6932
Al  0.5967  0.0970  0.2906
Al  0.5967  0.5967  0.2906
Al  0.8964  0.3992  0.6932
Fe  0.1385  0.1385  0.4141
Fe  0.3284  0.3284  0.9850
Fe  0.6599  0.6599  0.9793



Entry 21:
DFT (PBE-GGA) results for a relaxed Y2AlFe crystal.

Electronic total energy in eV/atom: -6.326
Magnetization in μB/atom: 0.4388

Cell: 3.3145 3.3145 8.0931 Å, 90.00 90.00 90.00°
Fractional coordinates of all 4 atoms:
Y  0.0000  0.0000  0.0000
Y  0.5000  0.5000  0.3734
Al  0.0000  0.0000  0.6313
Fe  0.5000  0.5000  0.7663



Entry 22:
DFT (PBE-GGA) results for a relaxed YAlFe2 crystal.

Electronic total energy in eV/atom: -6.663
Magnetization in μB/atom: 1.0316

Cell: 4.9107 4.9107 4.9107 Å, 130.55 130.55 72.52°
Fractional coordinates of all 4 atoms:
Y  0.0000  0.0000  0.0000
Al  0.2500  0.7500  0.5000
Fe  0.5000  0.5000  0.0000
Fe  0.7500  0.2500  0.5000